one:
The following is a PBE calculation of an optimized crystal structure of CsCd3Pt, from Alexandria via LeMat-Bulk.

It has space group R-3m (No. 166, hexagonal axes), with a = 7.6552 Å, b = 7.6552 Å, c = 17.8732 Å, α = 90.00°, β = 90.00° and γ = 120.00°. The inequivalent atoms are Cs at (0.0000, 0.0000, 0.0996), Cd at (0.0597, 0.5298, 0.0866) and Pt at (0.0000, 0.0000, 0.2993).

The calculation puts the volume at 151 Å³/f.u.

two:
The following is a PBE calculation of an optimized crystal structure of CsCd3Pt, from Alexandria via LeMat-Bulk.

It has space group Amm2 (No. 38), with a = 3.318 Å, b = 6.745 Å, c = 12.585 Å, α = 90.00°, β = 90.00° and γ = 90.00°. The inequivalent atoms are Cs at (0.000, 0.000, 0.000), Cd at (0.000, 0.000, 0.370), Cd at (0.500, 0.220, 0.732) and Pt at (0.500, 0.000, 0.547).

The calculation puts the volume at 141 Å³/f.u.

Which is the most stable structure? one is the most stable.